Run P
The following is a PBE calculation of a relaxed structure of KYCo2, from Alexandria.

Lattice parameters (Å, degrees): 3.891 3.891 8.593 102.82 102.82 59.99
Positions (direct):
K (0.000, 0.000, 0.000)
Y (0.172, 0.172, 0.524)
Co (0.438, 0.438, 0.315)
Co (0.771, 0.771, 0.316)

Magnetic moment   1.527 μB/f.u.
Space group   Cm
DOS(E_F)   4.4 states/eV/f.u.

Run Q
The following is a PBE calculation of a relaxed structure of KYCo2, from Alexandria.

Lattice parameters (Å, degrees): 9.840 9.840 9.840 151.35 151.35 40.97
Positions (direct):
K (0.375, 0.625, 0.750)
K (0.625, 0.375, 0.250)
Y (0.125, 0.875, 0.250)
Y (0.875, 0.125, 0.750)
Co (0.000, 0.000, 0.000)
Co (0.000, 0.000, 0.500)
Co (0.000, 0.500, 0.000)
Co (0.500, 0.000, 0.500)

Magnetic moment   2.080 μB/f.u.
Space group   I4_1/amd
DOS(E_F)   5.6 states/eV/f.u.

Most stable = run P

Run P
The following is a PBE calculation of a relaxed structure of K2YCo2, from Alexandria.

Lattice parameters (Å, degrees): 6.892 6.892 6.015 90.00 90.00 90.00
Positions (direct):
K (0.171, 0.329, 0.000)
K (0.329, 0.829, 0.000)
K (0.671, 0.171, 0.000)
K (0.829, 0.671, 0.000)
Y (0.000, 0.000, 0.500)
Y (0.500, 0.500, 0.500)
Co (0.112, 0.612, 0.500)
Co (0.388, 0.112, 0.500)
Co (0.612, 0.888, 0.500)
Co (0.888, 0.388, 0.500)

Magnetic moment   2.078 μB/f.u.
Space group   P4/mbm
DOS(E_F)   5.8 states/eV/f.u.

Run Q
The following is a PBE calculation of a relaxed structure of K2YCo2, from Alexandria.

Lattice parameters (Å, degrees): 7.978 7.978 7.978 149.05 149.05 44.34
Positions (direct):
K (0.250, 0.750, 0.500)
K (0.750, 0.250, 0.500)
Y (0.000, 0.000, 0.000)
Co (0.429, 0.429, 0.000)
Co (0.571, 0.571, 0.000)

Magnetic moment   2.725 μB/f.u.
Space group   I4/mmm
DOS(E_F)   3.9 states/eV/f.u.

Most stable = run Q

Run P
The following is a PBE calculation of a relaxed structure of La3Co5, from Alexandria.

Lattice parameters (Å, degrees): 9.136 9.136 4.479 90.00 90.00 120.00
Positions (direct):
La (0.000, 0.360, 0.250)
La (0.000, 0.640, 0.750)
La (0.360, 0.000, 0.250)
La (0.360, 0.360, 0.750)
La (0.640, 0.000, 0.750)
La (0.640, 0.640, 0.250)
Co (0.000, 0.145, 0.750)
Co (0.000, 0.855, 0.250)
Co (0.145, 0.000, 0.750)
Co (0.145, 0.145, 0.250)
Co (0.333, 0.667, 0.000)
Co (0.333, 0.667, 0.500)
Co (0.667, 0.333, 0.000)
Co (0.667, 0.333, 0.500)
Co (0.855, 0.000, 0.250)
Co (0.855, 0.855, 0.750)

Magnetic moment   4.620 μB/f.u.
Space group   P6_3/mcm
DOS(E_F)   11.2 states/eV/f.u.

Run Q
The following is a PBE calculation of a relaxed structure of La3Co5, from Alexandria.

Lattice parameters (Å, degrees): 5.611 5.611 4.892 90.00 90.00 104.96
Positions (direct):
La (0.000, 0.000, 0.000)
La (0.296, 0.704, 0.500)
La (0.704, 0.296, 0.500)
Co (0.000, 0.500, 0.000)
Co (0.200, 0.200, 0.500)
Co (0.500, 0.000, 0.000)
Co (0.500, 0.500, 0.000)
Co (0.800, 0.800, 0.500)

Magnetic moment   4.102 μB/f.u.
Space group   Cmmm
DOS(E_F)   10.3 states/eV/f.u.

Most stable = run P

Run P
The following is a PBE calculation of a relaxed structure of La5Co4, from Alexandria.

Lattice parameters (Å, degrees): 8.260 8.260 7.123 90.00 90.00 120.00
Positions (direct):
La (0.000, 0.258, 0.250)
La (0.000, 0.742, 0.750)
La (0.258, 0.000, 0.250)
La (0.258, 0.258, 0.750)
La (0.333, 0.667, 0.000)
La (0.333, 0.667, 0.500)
La (0.667, 0.333, 0.000)
La (0.667, 0.333, 0.500)
La (0.742, 0.000, 0.750)
La (0.742, 0.742, 0.250)
Co (0.000, 0.000, 0.000)
Co (0.000, 0.000, 0.500)
Co (0.000, 0.401, 0.750)
Co (0.000, 0.599, 0.250)
Co (0.401, 0.000, 0.750)
Co (0.401, 0.401, 0.250)
Co (0.599, 0.000, 0.250)
Co (0.599, 0.599, 0.750)

Magnetic moment   0.000 μB/f.u.
Space group   P6_3/mcm
DOS(E_F)   6.3 states/eV/f.u.

Run Q
The following is a PBE calculation of a relaxed structure of La5Co4, from Alexandria.

Lattice parameters (Å, degrees): 6.598 6.598 6.598 100.56 100.56 129.31
Positions (direct):
La (0.000, 0.000, 0.000)
La (0.301, 0.301, 0.603)
La (0.301, 0.699, 0.000)
La (0.699, 0.301, 0.000)
La (0.699, 0.699, 0.397)
Co (0.000, 0.356, 0.356)
Co (0.000, 0.644, 0.644)
Co (0.356, 0.000, 0.356)
Co (0.644, 0.000, 0.644)

Magnetic moment   0.000 μB/f.u.
Space group   I4/mmm
DOS(E_F)   7.7 states/eV/f.u.

Run R
The following is a PBE calculation of a relaxed structure of La5Co4, from Alexandria.

Lattice parameters (Å, degrees): 3.868 6.242 9.960 72.05 78.91 71.98
Positions (direct):
La (0.000, 0.000, 0.000)
La (0.109, 0.180, 0.601)
La (0.218, 0.373, 0.193)
La (0.782, 0.627, 0.807)
La (0.891, 0.820, 0.399)
Co (0.406, 0.573, 0.616)
Co (0.492, 0.214, 0.803)
Co (0.508, 0.786, 0.197)
Co (0.594, 0.427, 0.384)

Magnetic moment   0.000 μB/f.u.
Space group   P-1
DOS(E_F)   6.8 states/eV/f.u.

Most stable = run R

Run P
The following is a PBE calculation of a relaxed structure of La3Co2, from Alexandria.

Lattice parameters (Å, degrees): 7.547 7.547 7.547 55.18 55.18 55.18
Positions (direct):
La (0.084, 0.750, 0.416)
La (0.250, 0.584, 0.916)
La (0.416, 0.084, 0.750)
La (0.584, 0.916, 0.250)
La (0.750, 0.416, 0.084)
La (0.916, 0.250, 0.584)
Co (0.175, 0.175, 0.175)
Co (0.325, 0.325, 0.325)
Co (0.675, 0.675, 0.675)
Co (0.825, 0.825, 0.825)

Magnetic moment   0.000 μB/f.u.
Space group   R-3c
DOS(E_F)   2.7 states/eV/f.u.

Run Q
The following is a PBE calculation of a relaxed structure of La3Co2, from Alexandria.

Lattice parameters (Å, degrees): 10.079 10.079 10.079 23.10 23.10 23.10
Positions (direct):
La (0.000, 0.000, 0.000)
La (0.227, 0.227, 0.227)
La (0.773, 0.773, 0.773)
Co (0.392, 0.392, 0.392)
Co (0.608, 0.608, 0.608)

Magnetic moment   0.000 μB/f.u.
Space group   R-3m
DOS(E_F)   3.7 states/eV/f.u.

Most stable = run P

Run P
The following is a PBE calculation of a relaxed structure of La4Co5, from Alexandria.

Lattice parameters (Å, degrees): 6.995 6.995 6.995 95.65 95.65 143.42
Positions (direct):
La (0.000, 0.282, 0.282)
La (0.000, 0.718, 0.718)
La (0.282, 0.000, 0.282)
La (0.718, 0.000, 0.718)
Co (0.000, 0.000, 0.000)
Co (0.373, 0.373, 0.746)
Co (0.373, 0.627, 0.000)
Co (0.627, 0.373, 0.000)
Co (0.627, 0.627, 0.254)

Magnetic moment   5.144 μB/f.u.
Space group   I4/mmm
DOS(E_F)   11.5 states/eV/f.u.

Run Q
The following is a PBE calculation of a relaxed structure of La4Co5, from Alexandria.

Lattice parameters (Å, degrees): 8.297 8.297 6.132 90.00 90.00 120.00
Positions (direct):
La (0.000, 0.000, 0.000)
La (0.000, 0.000, 0.500)
La (0.000, 0.383, 0.250)
La (0.000, 0.617, 0.750)
La (0.383, 0.000, 0.250)
La (0.383, 0.383, 0.750)
La (0.617, 0.000, 0.750)
La (0.617, 0.617, 0.250)
Co (0.000, 0.310, 0.750)
Co (0.000, 0.690, 0.250)
Co (0.310, 0.000, 0.750)
Co (0.310, 0.310, 0.250)
Co (0.333, 0.667, 0.000)
Co (0.333, 0.667, 0.500)
Co (0.667, 0.333, 0.000)
Co (0.667, 0.333, 0.500)
Co (0.690, 0.000, 0.250)
Co (0.690, 0.690, 0.750)

Magnetic moment   2.358 μB/f.u.
Space group   P6_3/mcm
DOS(E_F)   10.7 states/eV/f.u.

Most stable = run P

Run P
The following is a PBE calculation of a relaxed structure of Li2LaCo2, from Alexandria.

Lattice parameters (Å, degrees): 6.441 6.441 6.441 143.80 143.80 52.13
Positions (direct):
Li (0.250, 0.750, 0.500)
Li (0.750, 0.250, 0.500)
La (0.000, 0.000, 0.000)
Co (0.407, 0.407, 0.000)
Co (0.593, 0.593, 0.000)

Magnetic moment   1.889 μB/f.u.
Space group   I4/mmm
DOS(E_F)   4.7 states/eV/f.u.

Run Q
The following is a PBE calculation of a relaxed structure of Li2LaCo2, from Alexandria.

Lattice parameters (Å, degrees): 6.926 6.926 3.351 90.00 90.00 90.00
Positions (direct):
Li (0.151, 0.349, 0.000)
Li (0.349, 0.849, 0.000)
Li (0.651, 0.151, 0.000)
Li (0.849, 0.651, 0.000)
La (0.000, 0.000, 0.500)
La (0.500, 0.500, 0.500)
Co (0.125, 0.625, 0.500)
Co (0.375, 0.125, 0.500)
Co (0.625, 0.875, 0.500)
Co (0.875, 0.375, 0.500)

Magnetic moment   1.286 μB/f.u.
Space group   P4/mbm
DOS(E_F)   5.1 states/eV/f.u.

Most stable = run P

Run P
The following is a PBE calculation of a relaxed structure of LiLaCo, from Alexandria.

Lattice parameters (Å, degrees): 3.963 3.963 11.326 90.11 90.11 59.91
Positions (direct):
Li (0.167, 0.167, 0.079)
Li (0.833, 0.833, 0.921)
La (0.500, 0.500, 0.331)
La (0.500, 0.500, 0.669)
Co (0.167, 0.167, 0.501)
Co (0.833, 0.833, 0.499)

Magnetic moment   0.169 μB/f.u.
Space group   C2/m
DOS(E_F)   4.0 states/eV/f.u.

Run Q
The following is a PBE calculation of a relaxed structure of LiLaCo, from Alexandria.

Lattice parameters (Å, degrees): 5.497 5.497 5.497 142.91 142.91 53.47
Positions (direct):
Li (0.000, 0.000, 0.000)
La (0.284, 0.284, 0.000)
Co (0.621, 0.621, 0.000)

Magnetic moment   0.863 μB/f.u.
Space group   I4mm
DOS(E_F)   2.1 states/eV/f.u.

Most stable = run P

Run P
The following is a PBE calculation of a relaxed structure of LiLaCo, from Alexandria.

Lattice parameters (Å, degrees): 4.557 4.557 4.557 60.00 60.00 60.00
Positions (direct):
Li (0.000, 0.000, 0.000)
La (0.750, 0.750, 0.750)
Co (0.500, 0.500, 0.500)

Magnetic moment   0.000 μB/f.u.
Space group   F-43m
DOS(E_F)   3.9 states/eV/f.u.

Run Q
The following is a PBE calculation of a relaxed structure of LiLaCo, from Alexandria.

Lattice parameters (Å, degrees): 4.323 4.323 3.745 90.00 90.00 120.00
Positions (direct):
Li (0.000, 0.000, 0.000)
La (0.333, 0.667, 0.500)
Co (0.667, 0.333, 0.000)

Magnetic moment   0.003 μB/f.u.
Space group   P-6m2
DOS(E_F)   3.0 states/eV/f.u.

Most stable = run Q

Run P
The following is a PBE calculation of a relaxed structure of LiLaCo, from Alexandria.

Lattice parameters (Å, degrees): 7.114 7.114 4.628 105.83 105.83 35.75
Positions (direct):
Li (0.089, 0.089, 0.324)
Li (0.911, 0.911, 0.676)
La (0.359, 0.359, 0.133)
La (0.641, 0.641, 0.867)
Co (0.277, 0.277, 0.612)
Co (0.723, 0.723, 0.388)

Magnetic moment   0.000 μB/f.u.
Space group   C2/m
DOS(E_F)   1.8 states/eV/f.u.

Run Q
The following is a PBE calculation of a relaxed structure of LiLaCo, from Alexandria.

Lattice parameters (Å, degrees): 4.512 4.512 4.512 60.00 60.00 60.00
Positions (direct):
Li (0.000, 0.000, 0.000)
La (0.500, 0.500, 0.500)
Co (0.250, 0.250, 0.250)

Magnetic moment   0.000 μB/f.u.
Space group   F-43m
DOS(E_F)   3.9 states/eV/f.u.

Most stable = run P

Run P
The following is a PBE calculation of a relaxed structure of LiLaCo2, from Alexandria.

Lattice parameters (Å, degrees): 4.552 4.552 4.552 60.00 60.00 60.00
Positions (direct):
Li (0.000, 0.000, 0.000)
La (0.750, 0.750, 0.750)
Co (0.250, 0.250, 0.250)
Co (0.500, 0.500, 0.500)

Magnetic moment   1.864 μB/f.u.
Space group   F-43m
DOS(E_F)   5.8 states/eV/f.u.

Run Q
The following is a PBE calculation of a relaxed structure of LiLaCo2, from Alexandria.

Lattice parameters (Å, degrees): 4.462 4.462 4.462 60.00 60.00 60.00
Positions (direct):
Li (0.000, 0.000, 0.000)
La (0.500, 0.500, 0.500)
Co (0.250, 0.250, 0.250)
Co (0.750, 0.750, 0.750)

Magnetic moment   0.000 μB/f.u.
Space group   Fm-3m
DOS(E_F)   1.6 states/eV/f.u.

Run R
The following is a PBE calculation of a relaxed structure of LiLaCo2, from Alexandria.

Lattice parameters (Å, degrees): 5.071 5.071 2.969 104.09 104.09 113.19
Positions (direct):
Li (0.000, 0.000, 0.000)
La (0.500, 0.500, 0.000)
Co (0.000, 0.500, 0.500)
Co (0.500, 0.000, 0.500)

Magnetic moment   1.251 μB/f.u.
Space group   C2/m
DOS(E_F)   3.7 states/eV/f.u.

Most stable = run Q

Run P
The following is a PBE calculation of a relaxed structure of LiLaCo2, from Alexandria.

Lattice parameters (Å, degrees): 4.098 4.098 3.836 90.00 90.00 90.00
Positions (direct):
Li (0.000, 0.000, 0.000)
La (0.500, 0.500, 0.000)
Co (0.000, 0.500, 0.500)
Co (0.500, 0.000, 0.500)

Magnetic moment   1.221 μB/f.u.
Space group   P4/mmm
DOS(E_F)   6.4 states/eV/f.u.

Run Q
The following is a PBE calculation of a relaxed structure of LiLaCo2, from Alexandria.

Lattice parameters (Å, degrees): 3.938 5.241 5.241 45.68 90.00 90.00
Positions (direct):
Li (0.000, 0.000, 0.000)
La (0.500, 0.714, 0.714)
Co (0.000, 0.323, 0.323)
Co (0.500, 0.422, 0.422)

Magnetic moment   1.551 μB/f.u.
Space group   Amm2
DOS(E_F)   4.2 states/eV/f.u.

Most stable = run Q